1.
Below is NbTe2AsN after structural relaxation, with properties calculated at the GGA-PBE level.

Values from the calculation:
DFT total energy = -27.7 eV per cell

extended XYZ file:
```
5
Lattice="5.5413 0.0000 0.0000 0.0000 5.5413 0.0000 0.0000 0.0000 3.8980" Properties=species:S:1:pos:R:3 pbc="T T T"
Nb 0.0000 0.0000 0.0000
Te 0.0000 2.7706 0.0000
Te 2.7706 0.0000 0.0000
As 2.7706 2.7706 1.9490
N 0.0000 0.0000 1.9490
```

***

2.
Below is La3Ho2NpN6 after structural relaxation, with properties calculated at the GGA-PBE level.

Values from the calculation:
DFT total energy = -104.1 eV per cell

extended XYZ file:
```
12
Lattice="3.0575 -5.2866 0.0000 3.0575 5.2866 0.0000 -2.0367 0.0000 5.9535" Properties=species:S:1:pos:R:3 pbc="T T T"
La 0.0000 0.0000 0.0000
La 3.0575 1.7912 0.0000
La 3.0575 -1.7912 0.0000
Ho 2.0392 3.5287 2.9768
Ho 2.0392 -3.5287 2.9768
Np 2.0392 0.0000 2.9768
N 1.0943 1.6324 1.7179
N 0.1426 0.0000 4.2662
N 1.0943 -1.6324 1.7179
N 2.9840 1.6324 4.2357
N 3.9357 0.0000 1.6873
N 2.9840 -1.6324 4.2357
```

***

3.
Below is Mn7Nb3Cr2 after structural relaxation, with properties calculated at the GGA-PBE level.

Values from the calculation:
energy of formation = -0.67 kcal/mol of atoms
DFT total energy = -114.0 eV per cell

extended XYZ file:
```
12
Lattice="2.3924 1.3812 7.8715 -2.3924 1.3812 7.8715 0.0000 -2.7625 7.8715" Properties=species:S:1:pos:R:3 pbc="T T T"
Mn 0.0000 0.0000 0.0000
Mn 0.0000 -1.3388 5.9365
Mn -1.1594 0.6694 5.9365
Mn -1.1594 -0.6694 17.6780
Mn 1.1594 0.6694 5.9365
Mn 1.1594 -0.6694 17.6780
Mn 0.0000 1.3388 17.6780
Nb 0.0000 0.0000 8.4661
Nb 0.0000 0.0000 11.8072
Nb 0.0000 0.0000 15.1484
Cr 0.0000 0.0000 3.8655
Cr 0.0000 0.0000 19.7489
```

***

4.
Below is Rb2BiPd after structural relaxation, with properties calculated at the GGA-PBE level.

Values from the calculation:
energy of formation = -5.37 kcal/mol of atoms
DFT total energy = -11.9 eV per cell

extended XYZ file:
```
4
Lattice="-2.3059 5.3555 3.4556 2.3059 -5.3555 3.4556 2.3059 5.3555 -3.4556" Properties=species:S:1:pos:R:3 pbc="T T T"
Rb 0.0000 2.0571 0.0000
Rb 0.0000 8.6538 0.0000
Bi 0.0000 0.0000 3.4638
Pd 2.3059 0.0000 2.1268
```

***

5.
Below is NaGaB3 after structural relaxation, with properties calculated at the GGA-PBE level.

Values from the calculation:
energy of formation = 38.71 kcal/mol of atoms
DFT total energy = -16.0 eV per cell

extended XYZ file:
```
5
Lattice="4.2472 0.0000 0.0000 0.0000 4.2472 0.0000 0.0000 0.0000 4.2472" Properties=species:S:1:pos:R:3 pbc="T T T"
Na 0.0000 0.0000 0.0000
Ga 2.1236 2.1236 2.1236
B 0.0000 2.1236 2.1236
B 2.1236 0.0000 2.1236
B 2.1236 2.1236 0.0000
```

***

6.
Below is HgP2Os after structural relaxation, with properties calculated at the GGA-PBE level.

Values from the calculation:
energy of formation = 9.23 kcal/mol of atoms
DFT total energy = -20.7 eV per cell

extended XYZ file:
```
4
Lattice="3.0070 0.0000 0.0000 0.0000 3.0070 0.0000 0.0000 0.0000 7.6518" Properties=species:S:1:pos:R:3 pbc="T T T"
Hg 0.0000 0.0000 0.0000
P 0.0000 0.0000 3.4418
P 1.5035 1.5035 4.8500
Os 1.5035 1.5035 2.3149
```

***

7.
Below is KLaIn2Co after structural relaxation, with properties calculated at the GGA-PBE level.

Values from the calculation:
energy of formation = -4.16 kcal/mol of atoms
DFT total energy = -19.5 eV per cell

extended XYZ file:
```
5
Lattice="5.2583 0.0000 0.0000 0.0000 5.2583 0.0000 0.0000 0.0000 5.0268" Properties=species:S:1:pos:R:3 pbc="T T T"
K 0.0000 0.0000 0.0000
La 2.6291 2.6291 0.0000
In 0.0000 2.6291 2.5134
In 2.6291 0.0000 2.5134
Co 2.6291 2.6291 2.5134
```

***

8.
Below is Te2AsRuN after structural relaxation, with properties calculated at the GGA-PBE level.

Values from the calculation:
DFT total energy = -26.4 eV per cell

extended XYZ file:
```
5
Lattice="5.4085 0.0000 0.0000 0.0000 5.4085 0.0000 0.0000 0.0000 3.6687" Properties=species:S:1:pos:R:3 pbc="T T T"
Te 0.0000 2.7042 0.0000
Te 2.7042 0.0000 0.0000
As 0.0000 0.0000 1.8344
Ru 2.7042 2.7042 0.0000
N 2.7042 2.7042 1.8344
```

***

no.,calculated density (g/cm3),total moment (Bohr magnetons per cell)
1,6.1,0.0
2,9.2,1.7
3,8.2,1.3
4,4.7,0.0
5,2.7,0.0
6,10.9,0.0
7,5.6,0.0
8,6.9,0.0